## Sr2ScRh (meta-GGA SCAN)

Data for a crystal of Sr2ScRh relaxed with PBEsol.

Structure (CIF):
```
data_Sr2ScRh
_space_group_name_H-M_alt 'R -3 m'
_space_group_IT_number 166
_space_group_name_Hall '-R 3 2"'
_cell_length_a 3.6448
_cell_length_b 3.6448
_cell_length_c 31.0139
_cell_angle_alpha 90.00
_cell_angle_beta 90.00
_cell_angle_gamma 120.00
loop_
_atom_site_label
_atom_site_fract_x
_atom_site_fract_y
_atom_site_fract_z
_atom_site_occupancy
Sr1 0.0000 0.0000 0.2311 1
Sc1 0.0000 0.0000 0.0000 1
Rh1 0.0000 0.0000 0.5000 1
```

ΔH_f (0 K): 0.29 eV/atom
Spin magnetization: 1.47 μB/cell
VASP energy: -22.855 eV per atom
N(E_F): 12.694 states/eV/cell

## Zn3HgB (meta-GGA SCAN)

Data for a crystal of Zn3HgB relaxed with PBEsol.

Structure (CIF):
```
data_Zn3HgB
_space_group_name_H-M_alt 'P m -3 m'
_space_group_IT_number 221
_space_group_name_Hall '-P 4 2 3'
_cell_length_a 4.854
_cell_length_b 4.854
_cell_length_c 4.854
_cell_angle_alpha 90.00
_cell_angle_beta 90.00
_cell_angle_gamma 90.00
loop_
_atom_site_label
_atom_site_fract_x
_atom_site_fract_y
_atom_site_fract_z
_atom_site_occupancy
Zn1 0.000 0.000 0.500 1
Hg1 0.000 0.000 0.000 1
B1 0.500 0.500 0.500 1
```

ΔH_f (0 K): 1.32 eV/atom
Spin magnetization: 0.00 μB/cell
VASP energy: -21.904 eV per atom
N(E_F): 1.648 states/eV/cell

## Li2VO2F2 (meta-GGA SCAN)

Data for a crystal of Li2VO2F2 relaxed with PBEsol.

Structure (CIF):
```
data_Li2VO2F2
_space_group_name_H-M_alt 'I 21 21 21'
_space_group_IT_number 24
_cell_length_a 5.602
_cell_length_b 5.809
_cell_length_c 8.429
_cell_angle_alpha 90.00
_cell_angle_beta 90.00
_cell_angle_gamma 90.00
loop_
_space_group_symop_operation_xyz
'x,y,z'
'-x,-y+1/2,z'
'x,-y,-z+1/2'
'-x,y+1/2,-z+1/2'
'x+1/2,y+1/2,z+1/2'
'-x+1/2,-y,z+1/2'
'x+1/2,-y+1/2,-z'
'-x+1/2,y,-z'
loop_
_atom_site_label
_atom_site_fract_x
_atom_site_fract_y
_atom_site_fract_z
_atom_site_occupancy
Li1 0.000 0.250 0.120 1
Li2 0.007 0.500 0.750 1
V1 0.250 0.237 0.500 1
O1 0.002 0.466 0.504 1
F1 0.241 0.245 0.734 1
```

Spin magnetization: 4.00 μB/cell
VASP energy: -8.816 eV per atom
N(E_F): 4.088 states/eV/cell

## LiBH7N (meta-GGA SCAN)

Data for a crystal of LiBH7N relaxed with PBEsol.

Structure (CIF):
```
data_LiBH7N
_space_group_name_H-M_alt 'P n m a'
_space_group_IT_number 62
_cell_length_a 5.710
_cell_length_b 4.347
_cell_length_c 13.972
_cell_angle_alpha 90.00
_cell_angle_beta 90.00
_cell_angle_gamma 90.00
loop_
_space_group_symop_operation_xyz
'x,y,z'
'-x,-y,-z'
'-x+1/2,-y,z+1/2'
'x+1/2,y,-z+1/2'
'x+1/2,-y+1/2,-z+1/2'
'-x+1/2,y+1/2,z+1/2'
'-x,y+1/2,-z'
'x,-y+1/2,z'
loop_
_atom_site_label
_atom_site_fract_x
_atom_site_fract_y
_atom_site_fract_z
_atom_site_occupancy
Li1 0.123 0.250 0.074 1
B1 0.082 0.250 0.899 1
H1 0.033 0.063 0.367 1
H2 0.074 0.022 0.848 1
H3 0.088 0.750 0.045 1
H4 0.101 0.750 0.719 1
H5 0.233 0.750 0.445 1
N1 0.072 0.750 0.646 1
```

Spin magnetization: 0.00 μB/cell
VASP energy: -4.735 eV per atom
N(E_F): 0.000 states/eV/cell

## Y2MgIr (meta-GGA SCAN)

Data for a crystal of Y2MgIr relaxed with PBEsol.

Structure (CIF):
```
data_Y2MgIr
_space_group_name_H-M_alt 'P 4 m m'
_space_group_IT_number 99
_cell_length_a 3.316
_cell_length_b 3.316
_cell_length_c 8.420
_cell_angle_alpha 90.00
_cell_angle_beta 90.00
_cell_angle_gamma 90.00
loop_
_space_group_symop_operation_xyz
'x,y,z'
'-y,x,z'
'-x,-y,z'
'y,-x,z'
'-x,y,z'
'y,x,z'
'x,-y,z'
'-y,-x,z'
loop_
_atom_site_label
_atom_site_fract_x
_atom_site_fract_y
_atom_site_fract_z
_atom_site_occupancy
Y1 0.000 0.000 0.000 1
Y2 0.500 0.500 0.351 1
Mg1 0.000 0.000 0.634 1
Ir1 0.500 0.500 0.809 1
```

ΔH_f (0 K): -0.38 eV/atom
Spin magnetization: 0.00 μB/cell
VASP energy: -33.321 eV per atom
N(E_F): 3.752 states/eV/cell

## MgH2 (meta-GGA SCAN)

Data for a crystal of MgH2 relaxed with PBEsol.

Structure (CIF):
```
data_MgH2
_space_group_name_H-M_alt 'P n m a'
_space_group_IT_number 62
_cell_length_a 5.276
_cell_length_b 3.087
_cell_length_c 5.985
_cell_angle_alpha 90.00
_cell_angle_beta 90.00
_cell_angle_gamma 90.00
loop_
_space_group_symop_operation_xyz
'x,y,z'
'-x,-y,-z'
'-x+1/2,-y,z+1/2'
'x+1/2,y,-z+1/2'
'x+1/2,-y+1/2,-z+1/2'
'-x+1/2,y+1/2,z+1/2'
'-x,y+1/2,-z'
'x,-y+1/2,z'
loop_
_atom_site_label
_atom_site_fract_x
_atom_site_fract_y
_atom_site_fract_z
_atom_site_occupancy
Mg1 0.247 0.250 0.106 1
H1 0.022 0.750 0.333 1
H2 0.139 0.750 0.926 1
```

Spin magnetization: 0.00 μB/cell
VASP energy: -4.145 eV per atom
N(E_F): 0.000 states/eV/cell

## SrCu2Pt (meta-GGA SCAN)

Data for a crystal of SrCu2Pt relaxed with PBEsol.

Structure (CIF):
```
data_SrCu2Pt
_space_group_name_H-M_alt 'R 3 m'
_space_group_IT_number 160
_space_group_name_Hall 'R 3 -2"'
_cell_length_a 4.2750
_cell_length_b 4.2750
_cell_length_c 15.3202
_cell_angle_alpha 90.00
_cell_angle_beta 90.00
_cell_angle_gamma 120.00
loop_
_atom_site_label
_atom_site_fract_x
_atom_site_fract_y
_atom_site_fract_z
_atom_site_occupancy
Sr1 0.0000 0.0000 0.0000 1
Cu1 0.0000 0.0000 0.1863 1
Cu2 0.0000 0.0000 0.4958 1
Pt1 0.0000 0.0000 0.8065 1
```

ΔH_f (0 K): -0.42 eV/atom
Spin magnetization: 0.00 μB/cell
VASP energy: -31.135 eV per atom
N(E_F): 4.609 states/eV/cell

## LaCo3Sn (meta-GGA SCAN)

Data for a crystal of LaCo3Sn relaxed with PBEsol.

Structure (CIF):
```
data_LaCo3Sn
_space_group_name_H-M_alt 'P m -3 m'
_space_group_IT_number 221
_space_group_name_Hall '-P 4 2 3'
_cell_length_a 4.659
_cell_length_b 4.659
_cell_length_c 4.659
_cell_angle_alpha 90.00
_cell_angle_beta 90.00
_cell_angle_gamma 90.00
loop_
_atom_site_label
_atom_site_fract_x
_atom_site_fract_y
_atom_site_fract_z
_atom_site_occupancy
La1 0.000 0.000 0.000 1
Co1 0.000 0.500 0.500 1
Sn1 0.500 0.500 0.500 1
```

ΔH_f (0 K): 0.58 eV/atom
Spin magnetization: 3.99 μB/cell
VASP energy: -25.611 eV per atom
N(E_F): 3.686 states/eV/cell

## LiVP4O12 (meta-GGA SCAN)

Data for a crystal of LiVP4O12 relaxed with PBEsol.

Structure (CIF):
```
data_LiVP4O12
_space_group_name_H-M_alt 'C 1 2/m 1'
_space_group_IT_number 12
_cell_length_a 16.441
_cell_length_b 11.470
_cell_length_c 4.865
_cell_angle_alpha 90.00
_cell_angle_beta 104.14
_cell_angle_gamma 90.00
loop_
_space_group_symop_operation_xyz
'x,y,z'
'-x,-y,-z'
'-x,y,-z'
'x,-y,z'
'x+1/2,y+1/2,z'
'-x+1/2,-y+1/2,-z'
'-x+1/2,y+1/2,-z'
'x+1/2,-y+1/2,z'
loop_
_atom_site_label
_atom_site_fract_x
_atom_site_fract_y
_atom_site_fract_z
_atom_site_occupancy
Li1 0.250 0.250 0.000 1
V1 0.176 0.000 0.738 1
P1 0.091 0.159 0.187 1
P2 0.159 0.378 0.417 1
O1 0.000 0.134 0.000 1
O2 0.092 0.298 0.201 1
O3 0.098 0.110 0.476 1
O4 0.110 0.500 0.344 1
O5 0.154 0.118 0.026 1
O6 0.169 0.344 0.715 1
O7 0.237 0.383 0.301 1
```

Spin magnetization: 8.00 μB/cell
VASP energy: -9.990 eV per atom
N(E_F): 0.000 states/eV/cell

## Hf2TlPt2 (meta-GGA SCAN)

Data for a crystal of Hf2TlPt2 relaxed with PBEsol.

Structure (CIF):
```
data_Hf2TlPt2
_space_group_name_H-M_alt 'I 4/m m m'
_space_group_IT_number 139
_space_group_name_Hall '-I 4 2'
_cell_length_a 4.542
_cell_length_b 4.542
_cell_length_c 10.408
_cell_angle_alpha 90.00
_cell_angle_beta 90.00
_cell_angle_gamma 90.00
loop_
_atom_site_label
_atom_site_fract_x
_atom_site_fract_y
_atom_site_fract_z
_atom_site_occupancy
Hf1 0.000 0.500 0.250 1
Tl1 0.000 0.000 0.000 1
Pt1 0.000 0.000 0.377 1
```

ΔH_f (0 K): -0.80 eV/atom
Spin magnetization: 0.00 μB/cell
VASP energy: -68.416 eV per atom
N(E_F): 4.997 states/eV/cell

## Ba2AsRh (meta-GGA SCAN)

Data for a crystal of Ba2AsRh relaxed with PBEsol.

Structure (CIF):
```
data_Ba2AsRh
_space_group_name_H-M_alt 'A m m 2'
_space_group_IT_number 38
_cell_length_a 4.585
_cell_length_b 4.802
_cell_length_c 10.709
_cell_angle_alpha 90.00
_cell_angle_beta 90.00
_cell_angle_gamma 90.00
loop_
_space_group_symop_operation_xyz
'x,y,z'
'-x,-y,z'
'-x,y,z'
'x,-y,z'
'x,y+1/2,z+1/2'
'-x,-y+1/2,z+1/2'
'-x,y+1/2,z+1/2'
'x,-y+1/2,z+1/2'
loop_
_atom_site_label
_atom_site_fract_x
_atom_site_fract_y
_atom_site_fract_z
_atom_site_occupancy
Ba1 0.000 0.000 0.000 1
Ba2 0.500 0.000 0.293 1
As1 0.500 0.000 0.600 1
Rh1 0.000 0.000 0.690 1
```

ΔH_f (0 K): -0.78 eV/atom
Spin magnetization: 0.00 μB/cell
VASP energy: -34.048 eV per atom
N(E_F): 1.629 states/eV/cell

## Cr2O3 (meta-GGA SCAN)

Data for a crystal of Cr2O3 relaxed with PBEsol.

Structure (CIF):
```
data_Cr2O3
_space_group_name_H-M_alt 'P b c n'
_space_group_IT_number 60
_cell_length_a 7.149
_cell_length_b 5.010
_cell_length_c 5.174
_cell_angle_alpha 90.00
_cell_angle_beta 90.00
_cell_angle_gamma 90.00
loop_
_space_group_symop_operation_xyz
'x,y,z'
'-x,-y,-z'
'-x+1/2,-y+1/2,z+1/2'
'x+1/2,y+1/2,-z+1/2'
'x+1/2,-y+1/2,-z'
'-x+1/2,y+1/2,z'
'-x,y,-z+1/2'
'x,-y,z+1/2'
loop_
_atom_site_label
_atom_site_fract_x
_atom_site_fract_y
_atom_site_fract_z
_atom_site_occupancy
Cr1 0.108 0.250 0.032 1
O1 0.000 0.050 0.750 1
O2 0.152 0.392 0.394 1
```

Spin magnetization: 24.00 μB/cell
VASP energy: -13.608 eV per atom
N(E_F): 0.000 states/eV/cell

## Li2PbSe (meta-GGA SCAN)

Data for a crystal of Li2PbSe relaxed with PBEsol.

Structure (CIF):
```
data_Li2PbSe
_space_group_name_H-M_alt 'C 1 2/m 1'
_space_group_IT_number 12
_cell_length_a 6.983
_cell_length_b 3.768
_cell_length_c 6.570
_cell_angle_alpha 90.00
_cell_angle_beta 105.16
_cell_angle_gamma 90.00
loop_
_space_group_symop_operation_xyz
'x,y,z'
'-x,-y,-z'
'-x,y,-z'
'x,-y,z'
'x+1/2,y+1/2,z'
'-x+1/2,-y+1/2,-z'
'-x+1/2,y+1/2,-z'
'x+1/2,-y+1/2,z'
loop_
_atom_site_label
_atom_site_fract_x
_atom_site_fract_y
_atom_site_fract_z
_atom_site_occupancy
Li1 0.214 0.000 0.150 1
Pb1 0.000 0.000 0.500 1
Se1 0.000 0.500 0.000 1
```

Spin magnetization: 0.00 μB/cell
VASP energy: -25.855 eV per atom
N(E_F): 2.685 states/eV/cell

## Li3MnOF4 (meta-GGA SCAN)

Data for a crystal of Li3MnOF4 relaxed with PBEsol.

Structure (CIF):
```
data_Li3MnOF4
_space_group_name_H-M_alt 'C 1 m 1'
_space_group_IT_number 8
_cell_length_a 9.655
_cell_length_b 3.665
_cell_length_c 6.540
_cell_angle_alpha 90.00
_cell_angle_beta 128.94
_cell_angle_gamma 90.00
loop_
_space_group_symop_operation_xyz
'x,y,z'
'x,-y,z'
'x+1/2,y+1/2,z'
'x+1/2,-y+1/2,z'
loop_
_atom_site_label
_atom_site_fract_x
_atom_site_fract_y
_atom_site_fract_z
_atom_site_occupancy
Li1 0.000 0.000 0.000 1
Li2 0.114 0.500 0.757 1
Li3 0.357 0.000 0.134 1
Mn1 0.316 0.500 0.431 1
O1 0.351 0.000 0.435 1
F1 0.042 0.500 0.106 1
F2 0.100 0.000 0.820 1
F3 0.265 0.500 0.668 1
F4 0.355 0.500 0.161 1
```

Spin magnetization: 8.00 μB/cell
VASP energy: -7.948 eV per atom

## TeAuIO2 (meta-GGA SCAN)

Data for a crystal of TeAuIO2 relaxed with PBEsol.

Structure (CIF):
```
data_TeAuIO2
_space_group_name_H-M_alt 'P 4/m m m'
_space_group_IT_number 123
_space_group_name_Hall '-P 4 2'
_cell_length_a 4.079
_cell_length_b 4.079
_cell_length_c 6.721
_cell_angle_alpha 90.00
_cell_angle_beta 90.00
_cell_angle_gamma 90.00
loop_
_atom_site_label
_atom_site_fract_x
_atom_site_fract_y
_atom_site_fract_z
_atom_site_occupancy
Te1 0.000 0.000 0.000 1
Au1 0.500 0.500 0.500 1
I1 0.500 0.500 0.000 1
O1 0.000 0.500 0.500 1
```

Spin magnetization: 1.38 μB/cell
VASP energy: -30.547 eV per atom
N(E_F): 4.284 states/eV/cell

## BeCoNi2 (meta-GGA SCAN)

Data for a crystal of BeCoNi2 relaxed with PBEsol.

Structure (CIF):
```
data_BeCoNi2
_space_group_name_H-M_alt 'R -3 m'
_space_group_IT_number 166
_space_group_name_Hall '-R 3 2"'
_cell_length_a 2.4240
_cell_length_b 2.4240
_cell_length_c 22.8029
_cell_angle_alpha 90.00
_cell_angle_beta 90.00
_cell_angle_gamma 120.00
loop_
_atom_site_label
_atom_site_fract_x
_atom_site_fract_y
_atom_site_fract_z
_atom_site_occupancy
Be1 0.0000 0.0000 0.0000 1
Co1 0.0000 0.0000 0.5000 1
Ni1 0.0000 0.0000 0.2554 1
```

ΔH_f (0 K): -0.11 eV/atom
Spin magnetization: 7.40 μB/cell
VASP energy: -13.608 eV per atom
N(E_F): 10.049 states/eV/cell

## Ti3O5 (meta-GGA SCAN)

Data for a crystal of Ti3O5 relaxed with PBEsol.

Structure (CIF):
```
data_Ti3O5
_space_group_name_H-M_alt 'C 1 2/c 1'
_space_group_IT_number 15
_cell_length_a 10.076
_cell_length_b 5.006
_cell_length_c 7.180
_cell_angle_alpha 90.00
_cell_angle_beta 112.08
_cell_angle_gamma 90.00
loop_
_space_group_symop_operation_xyz
'x,y,z'
'-x,-y,-z'
'-x,y,-z+1/2'
'x,-y,z+1/2'
'x+1/2,y+1/2,z'
'-x+1/2,-y+1/2,-z'
'-x+1/2,y+1/2,-z+1/2'
'x+1/2,-y+1/2,z+1/2'
loop_
_atom_site_label
_atom_site_fract_x
_atom_site_fract_y
_atom_site_fract_z
_atom_site_occupancy
Ti1 0.000 0.000 0.000 1
Ti2 0.127 0.488 0.217 1
O1 0.000 0.186 0.250 1
O2 0.082 0.342 0.941 1
O3 0.190 0.162 0.653 1
```

Spin magnetization: 5.20 μB/cell
VASP energy: -13.131 eV per atom
N(E_F): 17.467 states/eV/cell

## Y2MnBr (meta-GGA SCAN)

Data for a crystal of Y2MnBr relaxed with PBEsol.

Structure (CIF):
```
data_Y2MnBr
_space_group_name_H-M_alt 'I 4/m m m'
_space_group_IT_number 139
_space_group_name_Hall '-I 4 2'
_cell_length_a 4.756
_cell_length_b 4.756
_cell_length_c 8.158
_cell_angle_alpha 90.00
_cell_angle_beta 90.00
_cell_angle_gamma 90.00
loop_
_atom_site_label
_atom_site_fract_x
_atom_site_fract_y
_atom_site_fract_z
_atom_site_occupancy
Y1 0.000 0.500 0.250 1
Mn1 0.000 0.000 0.000 1
Br1 0.000 0.000 0.500 1
```

Spin magnetization: 5.32 μB/cell
VASP energy: -23.531 eV per atom
N(E_F): 7.231 states/eV/cell

## CrCoSe2Br (meta-GGA SCAN)

Data for a crystal of CrCoSe2Br relaxed with PBEsol.

Structure (CIF):
```
data_CrCoSe2Br
_space_group_name_H-M_alt 'P 4/m m m'
_space_group_IT_number 123
_space_group_name_Hall '-P 4 2'
_cell_length_a 4.570
_cell_length_b 4.570
_cell_length_c 4.924
_cell_angle_alpha 90.00
_cell_angle_beta 90.00
_cell_angle_gamma 90.00
loop_
_atom_site_label
_atom_site_fract_x
_atom_site_fract_y
_atom_site_fract_z
_atom_site_occupancy
Cr1 0.000 0.000 0.000 1
Co1 0.500 0.500 0.500 1
Se1 0.000 0.500 0.500 1
Br1 0.500 0.500 0.000 1
```

Spin magnetization: 2.07 μB/cell
VASP energy: -18.839 eV per atom
N(E_F): 3.572 states/eV/cell

## LaReW2 (meta-GGA SCAN)

Data for a crystal of LaReW2 relaxed with PBEsol.

Structure (CIF):
```
data_LaReW2
_space_group_name_H-M_alt 'P 1 2/m 1'
_space_group_IT_number 10
_cell_length_a 2.852
_cell_length_b 4.227
_cell_length_c 6.523
_cell_angle_alpha 90.00
_cell_angle_beta 100.27
_cell_angle_gamma 90.00
loop_
_space_group_symop_operation_xyz
'x,y,z'
'-x,-y,-z'
'-x,y,-z'
'x,-y,z'
loop_
_atom_site_label
_atom_site_fract_x
_atom_site_fract_y
_atom_site_fract_z
_atom_site_occupancy
La1 0.000 0.000 0.000 1
Re1 0.500 0.000 0.500 1
W1 0.235 0.500 0.682 1
```

ΔH_f (0 K): 0.62 eV/atom
Spin magnetization: 0.00 μB/cell
VASP energy: -62.773 eV per atom
N(E_F): 3.831 states/eV/cell